ScTl2PtS | meta-GGA SCAN | PBEsol geometry

## Properties
crystal system = tetragonal
total energy = -47.5073 eV per atom

Lattice parameters (Å, degrees): 5.3143 5.3143 4.5258 90.00 90.00 90.00
Space group P4/mmm (No. 123)
One atom of each set of equivalent atoms:
Sc (0.0000, 0.0000, 0.0000) x1
Tl (0.0000, 0.5000, 0.5000) x2
Pt (0.5000, 0.5000, 0.5000) x1
S (0.5000, 0.5000, 0.0000) x1



Na2MgOsRh | meta-GGA SCAN | PBEsol geometry

## Properties
E_form = 1.6931 eV/atom
crystal system = tetragonal

Lattice parameters (Å, degrees): 4.6102 4.6102 4.7875 90.00 90.00 90.00
Space group P4/mmm (No. 123)
One atom of each set of equivalent atoms:
Na (0.0000, 0.5000, 0.0000) x2
Mg (0.0000, 0.0000, 0.0000) x1
Os (0.0000, 0.0000, 0.5000) x1
Rh (0.5000, 0.5000, 0.5000) x1



InIr2C | meta-GGA SCAN | PBEsol geometry

## Properties
E_form = 0.2491 eV/atom
crystal system = tetragonal

Lattice parameters (Å, degrees): 6.4701 6.4701 5.5782 90.00 90.00 90.00
Space group I-42d (No. 122)
One atom of each set of equivalent atoms:
In (0.0000, 0.0000, 0.0000) x4
Ir (0.1359, 0.2500, 0.6250) x8
C (0.0000, 0.0000, 0.5000) x4



LiTa2Te | meta-GGA SCAN | PBEsol geometry

## Properties
crystal system = tetragonal
total energy = -42.8332 eV per atom

Lattice parameters (Å, degrees): 3.8533 3.8533 20.4342 90.00 90.00 90.00
Space group I-42d (No. 122)
One atom of each set of equivalent atoms:
Li (0.0000, 0.0000, 0.0000) x4
Ta (0.2463, 0.2500, 0.6250) x8
Te (0.0000, 0.0000, 0.5000) x4



Mn2BiO | meta-GGA SCAN | PBEsol geometry

## Properties
crystal system = cubic
total energy = -30.2108 eV per atom

Lattice parameters (Å, degrees): 6.1867 6.1867 6.1867 90.00 90.00 90.00
Space group Fm-3m (No. 225)
One atom of each set of equivalent atoms:
Mn (0.2500, 0.2500, 0.2500) x8
Bi (0.0000, 0.0000, 0.0000) x4
O (0.0000, 0.0000, 0.5000) x4



GaRhI2N | meta-GGA SCAN | PBEsol geometry

## Properties
crystal system = tetragonal
total energy = -25.6397 eV per atom

Lattice parameters (Å, degrees): 5.5535 5.5535 3.4976 90.00 90.00 90.00
Space group P4/mmm (No. 123)
One atom of each set of equivalent atoms:
Ga (0.0000, 0.0000, 0.0000) x1
Rh (0.5000, 0.5000, 0.5000) x1
I (0.0000, 0.5000, 0.0000) x2
N (0.0000, 0.0000, 0.5000) x1



| no. | total magnetic moment (μB per formula unit) | volume (Å³ per cell) | Fermi-level density of states (states/eV per atom) |
| --- | --- | --- | --- |
| 1 | 0.0 | 128 | 0.829 |
| 2 | 2.3 | 102 | 0.834 |
| 3 | 0.0 | 234 | 0.444 |
| 4 | 0.0 | 303 | 0.796 |
| 5 | 6.9 | 237 | 0.838 |
| 6 | 3.0 | 108 | 0.776 |